Computed, not measured: a relaxed structure of ScAlBi2 at the PBE level of DFT.

CIF file:
```
data_ScAlBi2
_chemical_formula_sum 'Sc4 Al4 Bi8'
_space_group_name_H-M_alt 'I -4 2 d'
_space_group_IT_number 122
_space_group_name_Hall 'I -4 2bw'
_cell_length_a 6.7456
_cell_length_b 6.7456
_cell_length_c 12.6472
_cell_angle_alpha 90.00
_cell_angle_beta 90.00
_cell_angle_gamma 90.00
loop_
_atom_site_label
_atom_site_fract_x
_atom_site_fract_y
_atom_site_fract_z
_atom_site_occupancy
Sc1 0.0000 0.0000 0.0000 1
Al1 0.0000 0.0000 0.5000 1
Bi1 0.2321 0.2500 0.6250 1
```

DFT total energy = -4.4760 eV/atom
Formation enthalpy at 0 K = -0.4 kcal/mol of atoms